[1]
Entry from Alexandria via LeMat-Bulk: a geometry-optimized Be2ZnW structure (GGA-PBE).

Cell: 2.739 2.739 6.218 Å, 90.00 90.00 90.00°
Space group P4mm (No. 99)
One atom of each set of equivalent atoms:
Be: 0.000 0.000 0.000 x1
Be: 0.500 0.500 0.165 x1
Zn: 0.500 0.500 0.758 x1
W: 0.000 0.000 0.429 x1

crystal system = tetragonal
formation energy = 180 meV per atom
E_tot = -5.239 eV per atom

***

[2]
Entry from Alexandria via LeMat-Bulk: a geometry-optimized LaCrCu4 structure (GGA-PBE).

Cell: 7.307 7.307 7.307 Å, 90.00 90.00 90.00°
Space group F-43m (No. 216)
One atom of each set of equivalent atoms:
La: 0.000 0.000 0.000 x4
Cr: 0.250 0.250 0.750 x4
Cu: 0.123 0.123 0.377 x16

crystal system = cubic
formation energy = 42 meV per atom
E_tot = -5.114 eV per atom

***

[3]
Entry from Alexandria via LeMat-Bulk: a geometry-optimized Pm3S2Cl2 structure (GGA-PBE).

Cell: 4.057 6.738 7.048 Å, 78.84 73.33 90.00°
Space group P-1 (No. 2)
One atom of each set of equivalent atoms:
Pm: 0.000 0.000 0.000 x1
Pm: 0.257 0.749 0.488 x2
S: 0.129 0.373 0.741 x2
Cl: 0.388 0.162 0.224 x2

E_form (uncorrected) = -12.50 eV per formula unit
crystal system = triclinic
E_tot = -5.529 eV per atom

***

[4]
Entry from Alexandria via LeMat-Bulk: a geometry-optimized Cs6Na2Hg structure (GGA-PBE).

Cell: 14.153 14.204 14.220 Å, 90.00 90.00 90.00°
Space group Immm (No. 71)
One atom of each set of equivalent atoms:
Cs: 0.000 0.194 0.227 x8
Cs: 0.220 0.500 0.331 x8
Cs: 0.243 0.168 0.500 x8
Na: 0.000 0.366 0.500 x4
Na: 0.000 0.500 0.121 x4
Hg: 0.000 0.000 0.000 x2
Hg: 0.000 0.000 0.500 x2

crystal system = orthorhombic
formation energy = -18 meV per atom
E_tot = -0.914 eV per atom

***

[5]
Entry from Alexandria via LeMat-Bulk: a geometry-optimized HoErTh2 structure (GGA-PBE).

Cell: 4.243 4.243 7.106 Å, 90.00 90.00 90.00°
Space group P4mm (No. 99)
One atom of each set of equivalent atoms:
Ho: 0.000 0.000 0.000 x1
Er: 0.500 0.500 0.735 x1
Th: 0.000 0.000 0.480 x1
Th: 0.500 0.500 0.257 x1

crystal system = tetragonal
formation energy = 132 meV per atom
relative energy among the computed polymorphs = 0.101 eV per atom
E_tot = -5.863 eV per atom

***

[6]
Entry from Alexandria via LeMat-Bulk: a geometry-optimized AcPr4Te6 structure (GGA-PBE).

Cell: 4.508 14.821 23.116 Å, 90.00 90.00 90.00°
Space group Cmcm (No. 63)
One atom of each set of equivalent atoms:
Ac: 0.000 0.159 0.250 x4
Pr: 0.000 0.090 0.624 x8
Pr: 0.000 0.357 0.536 x8
Te: 0.000 0.000 0.000 x4
Te: 0.000 0.178 0.750 x4
Te: 0.000 0.265 0.094 x8
Te: 0.000 0.448 0.664 x8

E_form (uncorrected) = -16.41 eV per formula unit
crystal system = orthorhombic
E_tot = -5.317 eV per atom

***

[7]
Entry from Alexandria via LeMat-Bulk: a geometry-optimized Fe2RhSe structure (GGA-PBE).

Cell: 3.782 3.782 7.817 Å, 90.00 90.00 90.00°
Space group I-4m2 (No. 119)
One atom of each set of equivalent atoms:
Fe: 0.000 0.000 0.000 x2
Fe: 0.000 0.500 0.250 x2
Rh: 0.000 0.500 0.750 x2
Se: 0.000 0.000 0.500 x2

E_form (uncorrected) = 0.71 eV per formula unit
crystal system = tetragonal
E_tot = -6.763 eV per atom

***

[8]
Entry from Alexandria via LeMat-Bulk: a geometry-optimized Ba2CaW structure (GGA-PBE).

Cell: 3.464 5.469 17.308 Å, 90.00 90.00 90.00°
Space group Immm (No. 71)
One atom of each set of equivalent atoms:
Ba: 0.000 0.000 0.157 x4
Ca: 0.000 0.500 0.000 x2
W: 0.000 0.500 0.500 x2

crystal system = orthorhombic
formation energy = 986 meV per atom
relative energy among the computed polymorphs = 0.000 eV per atom
E_tot = -3.714 eV per atom

***

Q: What is the E_tot in the sixth record?
A: -5.317 eV per atom

***

Q: E_tot of number 7 (Fe2RhSe)?
A: -6.763 eV per atom

***

Q: What is the formula in the fifth record?
A: HoErTh2